Entry 1:
Material: NaNd2ReO8
Method: DFT, GGA-PBE
State: optimized geometry

Results
D(E_F) ... 0.000 states/eV/cell
SG ... P-1, No. 2
Magnetization ... 0.0 μB per formula unit
E_form (uncorrected) ... -2.16 eV/atom

a = 4.3458 Å, b = 5.2815 Å, c = 7.1331 Å
α = 90.60°, β = 104.31°, γ = 90.89°
With the nearest neighbours (Å) after each atom.
Fractional positions:
Na: 0.0000 0.0000 0.0000  6 O 2.59-2.85
Nd: 0.3825 0.4916 0.7143  8 O 2.44-2.65
Nd: 0.6175 0.5084 0.2857  8 O 2.44-2.65
Re: 0.0000 0.0000 0.5000  6 O 1.87-1.93
O: 0.1688 0.5242 0.9998  1 O 1.49
O: 0.1835 0.7070 0.4087  1 Re 1.93
O: 0.2240 0.2296 0.3842  1 Re 1.87
O: 0.3171 0.0181 0.7376  1 Re 1.90
O: 0.6829 0.9819 0.2624  1 Re 1.90
O: 0.7760 0.7704 0.6158  1 Re 1.87
O: 0.8165 0.2930 0.5913  1 Re 1.93
O: 0.8312 0.4758 0.0002  1 O 1.49

Entry 2:
Material: Na3Nd3ReO8
Method: DFT, GGA-PBE
State: optimized geometry

Results
SG ... R-3m, No. 166
Magnetization ... 3.0 μB per formula unit
E_form (uncorrected) ... -2.32 eV/atom

a = 6.8894 Å, b = 6.8894 Å, c = 6.8894 Å
α = 60.83°, β = 60.83°, γ = 60.83°
With the nearest neighbours (Å) after each atom.
Fractional positions:
Na: 0.0000 0.5000 0.5000  6 O 2.54-2.56
Na: 0.5000 0.0000 0.5000  6 O 2.54-2.56
Na: 0.5000 0.5000 0.0000  6 O 2.54-2.56
Nd: 0.0000 0.0000 0.5000  6 O 2.35-2.42
Nd: 0.0000 0.5000 0.0000  6 O 2.35-2.42
Nd: 0.5000 0.0000 0.0000  6 O 2.35-2.42
Re: 0.5000 0.5000 0.5000  6 O 2.11
O: 0.2394 0.2394 0.2394  3 Nd 2.35, 3 Na 2.56
O: 0.2720 0.7144 0.7144  1 Re 2.11
O: 0.2856 0.2856 0.7280  1 Re 2.11
O: 0.2856 0.7280 0.2856  1 Re 2.11
O: 0.7144 0.2720 0.7144  1 Re 2.11
O: 0.7144 0.7144 0.2720  1 Re 2.11
O: 0.7280 0.2856 0.2856  1 Re 2.11
O: 0.7606 0.7606 0.7606  3 Nd 2.35, 3 Na 2.56

Entry 3:
Material: Na2NdRe3O12
Method: DFT, GGA-PBE
State: optimized geometry

Results
D(E_F) ... 6.215 states/eV/cell
SG ... R-3m, No. 166
Magnetization ... 0.7 μB per formula unit
E_form (uncorrected) ... -1.81 eV/atom

a = 6.7561 Å, b = 6.7561 Å, c = 6.7561 Å
α = 67.08°, β = 67.08°, γ = 67.08°
With the nearest neighbours (Å) after each atom.
Fractional positions:
Na: 0.1292 0.1292 0.1292  3 O 2.32
Na: 0.8708 0.8708 0.8708  3 O 2.32
Nd: 0.5000 0.5000 0.5000  12 O 2.58-2.77
Re: 0.0000 0.5000 0.5000  6 O 1.83-1.96
Re: 0.5000 0.0000 0.5000  6 O 1.83-1.96
Re: 0.5000 0.5000 0.0000  6 O 1.83-1.96
O: 0.0700 0.6386 0.6386  1 Re 1.83
O: 0.2328 0.2328 0.5962  2 Re 1.96
O: 0.2328 0.5962 0.2328  2 Re 1.96
O: 0.3614 0.3614 0.9300  1 Re 1.83
O: 0.3614 0.9300 0.3614  1 Re 1.83
O: 0.4038 0.7672 0.7672  2 Re 1.96
O: 0.5962 0.2328 0.2328  2 Re 1.96
O: 0.6386 0.0700 0.6386  1 Re 1.83
O: 0.6386 0.6386 0.0700  1 Re 1.83
O: 0.7672 0.4038 0.7672  2 Re 1.96
O: 0.7672 0.7672 0.4038  2 Re 1.96
O: 0.9300 0.3614 0.3614  1 Re 1.83

Entry 4:
Material: Na2NdReO6
Method: DFT, GGA-PBE
State: optimized geometry

Results
D(E_F) ... 0.000 states/eV/cell
SG ... R3, No. 146
Magnetization ... 0.0 μB per formula unit
E_form (uncorrected) ... -2.11 eV/atom

a = 5.9065 Å, b = 5.9065 Å, c = 5.9065 Å
α = 58.25°, β = 58.25°, γ = 58.25°
With the nearest neighbours (Å) after each atom.
Fractional positions:
Na: 0.0000 0.0000 0.0000  6 O 2.44-2.57
Na: 0.4997 0.4997 0.4997  6 O 2.35-2.63
Nd: 0.7294 0.7294 0.7294  6 O 2.29-2.45
Re: 0.2219 0.2219 0.2219  6 O 1.87-1.94
O: 0.0969 0.8993 0.4257  1 Re 1.94
O: 0.3502 0.5305 0.9909  1 Re 1.87
O: 0.4257 0.0969 0.8993  1 Re 1.94
O: 0.5305 0.9909 0.3502  1 Re 1.87
O: 0.8993 0.4257 0.0969  1 Re 1.94
O: 0.9909 0.3502 0.5305  1 Re 1.87

Entry 5:
Material: Na2NdRh3O8
Method: DFT, GGA-PBE
State: optimized geometry

Results
D(E_F) ... 0.265 states/eV/cell
SG ... R3m, No. 160
Magnetization ... 0.0 μB per formula unit
E_form (uncorrected) ... -1.38 eV/atom

a = 6.4579 Å, b = 6.4579 Å, c = 6.4579 Å
α = 59.21°, β = 59.21°, γ = 59.21°
With the nearest neighbours (Å) after each atom.
Fractional positions:
Na: 0.0000 0.0000 0.0000  6 O 2.30-2.34
Na: 0.3741 0.3741 0.3741  4 O 2.25-2.32
Nd: 0.6141 0.6141 0.6141  4 O 2.21-2.38
Rh: 0.4904 0.9989 0.9989  6 O 1.99-2.14
Rh: 0.9989 0.4904 0.9989  6 O 1.99-2.14
Rh: 0.9989 0.9989 0.4904  6 O 1.99-2.14
O: 0.1917 0.7504 0.7504  2 Rh 2.07, 1 Nd 2.21, 1 Na 2.30
O: 0.2284 0.2284 0.2284  3 Rh 2.09, 1 Na 2.32
O: 0.2538 0.2538 0.8015  2 Rh 1.99
O: 0.2538 0.8015 0.2538  2 Rh 1.99
O: 0.7504 0.1917 0.7504  2 Rh 2.07, 1 Nd 2.21, 1 Na 2.30
O: 0.7504 0.7504 0.1917  2 Rh 2.07, 1 Nd 2.21, 1 Na 2.30
O: 0.7639 0.7639 0.7639  3 Rh 2.14, 1 Nd 2.38
O: 0.8015 0.2538 0.2538  2 Rh 1.99

Entry 6:
Material: NaNd2Rh3O8
Method: DFT, GGA-PBE
State: optimized geometry

Results
SG ... R3m, No. 160
Magnetization ... 0.0 μB per formula unit
E_form (uncorrected) ... -1.71 eV/atom

a = 6.7629 Å, b = 6.7629 Å, c = 6.7629 Å
α = 57.05°, β = 57.05°, γ = 57.05°
With the nearest neighbours (Å) after each atom.
Fractional positions:
Na: 0.0000 0.0000 0.0000  4 O 2.15-2.41
Nd: 0.3360 0.3360 0.3360  6 O 2.36-2.41
Nd: 0.8226 0.8226 0.8226  6 O 2.28-2.46
Rh: 0.3503 0.3503 0.8428  6 O 2.07-2.16
Rh: 0.3503 0.8428 0.3503  6 O 2.07-2.16
Rh: 0.8428 0.3503 0.3503  6 O 2.07-2.16
O: 0.0848 0.0848 0.5716  2 Rh 2.16, 1 Nd 2.36, 1 Na 2.41
O: 0.0848 0.5716 0.0848  2 Rh 2.16, 1 Nd 2.36, 1 Na 2.41
O: 0.1273 0.1273 0.1273  3 Rh 2.10, 1 Na 2.15
O: 0.1592 0.5853 0.5853  2 Rh 2.11, 1 Nd 2.28
O: 0.5704 0.5704 0.5704  3 Rh 2.07
O: 0.5716 0.0848 0.0848  2 Rh 2.16, 1 Nd 2.36, 1 Na 2.41
O: 0.5853 0.1592 0.5853  2 Rh 2.11, 1 Nd 2.28
O: 0.5853 0.5853 0.1592  2 Rh 2.11, 1 Nd 2.28